No. 1
Here is LiTl4Bi4 after structural relaxation from Alexandria. Energies are from GGA-PBE.

Energy relative to the elements (eV per atom): -0.07

```
LiTl4Bi4
1.0
4.546 0.000 1.372
2.273 7.706 0.686
0.046 0.000 8.064
Tl Bi Li
4 4 1
Direct
0.499 0.822 0.679
0.501 0.178 0.321
0.178 0.821 0.322
0.822 0.179 0.678
0.852 0.796 0.000
0.852 0.500 0.296
0.148 0.204 0.000
0.148 0.500 0.704
0.500 0.500 0.000
```

No. 2
Here is Li2TlBi2 after structural relaxation from Alexandria. Energies are from GGA-PBE.

Energy relative to the elements (eV per atom): -0.19
Offset from the most stable computed form (meV/atom): 81

```
Li2TlBi2
1.0
4.936 0.000 0.000
0.000 4.936 0.000
2.468 2.468 5.909
Li Bi Tl
2 2 1
Direct
0.750 0.250 0.500
0.250 0.750 0.500
0.376 0.376 0.247
0.624 0.624 0.753
0.000 0.000 0.000
```

No. 3
Here is Li2TlBi after structural relaxation from Alexandria. Energies are from GGA-PBE.

Energy relative to the elements (eV per atom): -0.11
Offset from the most stable computed form (meV/atom): 264

```
Li2TlBi
1.0
4.660 0.000 0.000
0.000 4.660 0.000
2.330 2.330 9.656
Tl Li Bi
2 4 2
Direct
0.500 0.500 0.000
0.250 0.750 0.500
0.645 0.125 0.250
0.375 0.355 0.750
0.875 0.895 0.750
0.105 0.625 0.250
0.000 0.000 0.000
0.750 0.250 0.500
```

No. 4
Here is Li2TlBi2 after structural relaxation from Alexandria. Energies are from GGA-PBE.

Energy relative to the elements (eV per atom): -0.24
Offset from the most stable computed form (meV/atom): 25

```
Li2TlBi2
1.0
-4.668 -7.559 1.410
-0.076 -1.604 -8.851
2.779 -1.664 0.278
Li Bi Tl
4 4 2
Direct
0.863 0.363 0.500
0.363 0.137 0.500
0.137 0.637 0.500
0.637 0.863 0.500
0.844 0.656 0.000
0.344 0.844 0.000
0.156 0.344 0.000
0.656 0.156 0.000
0.500 0.500 0.000
0.000 0.000 0.000
```